No. 1
NaTi2Mn after structural relaxation, computed with GGA-PBE.

## Properties
**DOS(E_F)**: 22.7 states/eV/cell
**Calculated formation energy**: 1.117 eV per atom
**Size of the total moment**: 0.0 μB per formula unit
**Offset from the most stable computed form**: 0.5495 eV/atom

a b c (Å): 6.826 6.826 9.768
angles (deg): 90.00 90.00 90.00
Space group I4_1/amd (No. 141, origin choice 2)
One atom of each set of equivalent atoms:
Na (0.000, 0.250, 0.375) (multiplicity 4)
Ti (0.000, 0.000, 0.000) (multiplicity 8)
Mn (0.000, 0.250, 0.875) (multiplicity 4)

***

No. 2
NiAgPt after structural relaxation, computed with GGA-PBE.

## Properties
**DOS(E_F)**: 4.7 states/eV/cell
**Calculated formation energy**: 0.149 eV per atom
**Size of the total moment**: 0.9 μB per formula unit
**Offset from the most stable computed form**: 0.1104 eV/atom

a b c (Å): 4.3662 4.3662 2.7613
angles (deg): 90.00 90.00 120.00
Space group P-6m2 (No. 187)
One atom of each set of equivalent atoms:
Ni (0.0000, 0.0000, 0.0000) (multiplicity 1)
Ag (0.6667, 0.3333, 0.5000) (multiplicity 1)
Pt (0.3333, 0.6667, 0.0000) (multiplicity 1)

***

No. 3
Dy8YTh6 after structural relaxation, computed with GGA-PBE.

## Properties
**DOS(E_F)**: 81.6 states/eV/cell
**Calculated formation energy**: 0.157 eV per atom
**Size of the total moment**: 0.0 μB per formula unit

a b c (Å): 8.8509 8.8509 21.3352
angles (deg): 90.00 90.00 120.00
Space group R-3 (No. 148, hexagonal axes)
One atom of each set of equivalent atoms:
Dy (0.0000, 0.0000, 0.0805) (multiplicity 6)
Dy (0.0629, 0.2545, 0.6334) (multiplicity 18)
Y (0.0000, 0.0000, 0.5000) (multiplicity 3)
Th (0.0253, 0.7829, 0.2096) (multiplicity 18)

***

Number 1: calculated density 2.5 Mg/m³. Number 2: calculated density 13.2 Mg/m³. Number 3: calculated density 9.6 Mg/m³.